[1]
Density functional theory data (GGA-PBE) for a relaxed Cs2Hg2Te3 crystal.

Properties
* uncorrected formation energy: -0.57 eV/atom
* crystal system: monoclinic
* calculated total energy: -2.249 eV per atom

Lattice parameters (Å, degrees): 4.8548 9.9049 8.3273 123.93 106.95 90.00
Positions (direct):
Te  0.8211  0.3968  0.6423
Te  0.1789  0.6032  0.3577
Te  0.0000  0.0000  0.0000
Cs  0.5500  0.7692  0.1000
Cs  0.4500  0.2308  0.9000
Hg  0.1984  0.3130  0.3968
Hg  0.8016  0.6870  0.6032

[2]
Density functional theory data (GGA-PBE) for a relaxed Ce crystal.

Properties
* energy of formation from the pure elements: 0.039 eV/atom
* excess energy over the best structure of this formula in the dataset: 38.9 meV/atom
* crystal system: orthorhombic
* calculated total energy: -5.895 eV per atom

Lattice parameters (Å, degrees): 3.4529 3.4529 5.2691 90.00 90.00 125.20
Positions (direct):
Ce  0.1008  0.8992  0.2500
Ce  0.8992  0.1008  0.7500

[3]
Density functional theory data (GGA-PBE) for a relaxed YTa2Cd crystal.

Properties
* energy of formation from the pure elements: 0.353 eV/atom
* crystal system: tetragonal
* calculated total energy: -7.418 eV per atom

Lattice parameters (Å, degrees): 5.6445 5.6445 5.6445 136.06 136.06 63.89
Positions (direct):
Y  0.2500  0.7500  0.5000
Ta  0.0000  0.0000  0.0000
Ta  0.5000  0.5000  0.0000
Cd  0.7500  0.2500  0.5000

- Which formula does entry 2 have?
  Ce

- Among the records above, which one has the highest calculated total energy?
  Cs2Hg2Te3

- Among the records above, which one has the lowest calculated total energy?
  YTa2Cd